# AlNi6B3, relaxed, DFT PBE
data_AlNi6B3
_symmetry_space_group_name_H-M 'P 1'
_symmetry_Int_Tables_number 1
_cell_length_a 5.243
_cell_length_b 6.155
_cell_length_c 6.155
_cell_angle_alpha 100.04
_cell_angle_beta 90.00
_cell_angle_gamma 90.00
loop_
_symmetry_equiv_pos_as_xyz
'x,y,z'
loop_
_atom_site_label
_atom_site_type_symbol
_atom_site_fract_x
_atom_site_fract_y
_atom_site_fract_z
Al1 Al 0.990 0.300 0.700
Al2 Al 0.490 0.700 0.300
Ni1 Ni 0.661 0.627 0.706
Ni2 Ni 0.794 0.942 0.534
Ni3 Ni 0.550 0.229 0.771
Ni4 Ni 0.161 0.706 0.627
Ni5 Ni 0.229 0.021 0.979
Ni6 Ni 0.294 0.058 0.466
Ni7 Ni 0.294 0.534 0.942
Ni8 Ni 0.661 0.294 0.373
Ni9 Ni 0.161 0.373 0.294
Ni10 Ni 0.050 0.771 0.229
Ni11 Ni 0.794 0.466 0.058
Ni12 Ni 0.729 0.979 0.021
B1 B 0.368 0.412 0.588
B2 B 0.868 0.588 0.412
B3 B 0.969 0.709 0.913
B4 B 0.969 0.087 0.291
B5 B 0.469 0.291 0.087
B6 B 0.469 0.913 0.709
# ΔE_f = -298.5 meV/atom
# Final energy = -6.14 eV/atom
# Space-group type = Cmc2_1, No. 36